HoPu2ScTe4, relaxed, DFT GGA-PBE; formation energy from raw total energies = -1150 meV/atom; total energy = -61.342 eV/f.u.; magnetization = 12.1 μB per formula unit; SG = No. 10
1.0
-3.174 2.370 -1.713
-4.744 -2.660 5.108
3.272 6.323 2.685
Te Ho Pu Sc
4 1 2 1
Direct
0.500 0.239 0.235
0.500 0.761 0.765
0.000 0.752 0.239
0.000 0.248 0.761
0.500 0.500 0.000
0.500 0.000 0.500
0.000 0.500 0.500
0.000 0.000 0.000

Ho2PuSc3Te6, relaxed, DFT GGA-PBE; formation energy from raw total energies = -1160 meV/atom; total energy = -75.254 eV/f.u.; magnetization = 6.1 μB per formula unit; SG = No. 12
1.0
-2.731 3.176 -0.687
-4.034 -4.740 -5.881
-3.077 -3.699 8.246
Te Sc Ho Pu
6 3 2 1
Direct
0.003 0.739 0.007
0.997 0.261 0.993
0.672 0.079 0.344
0.334 0.408 0.669
0.666 0.592 0.331
0.328 0.921 0.656
0.164 0.837 0.328
0.500 0.500 0.000
0.836 0.163 0.672
0.163 0.330 0.327
0.837 0.670 0.673
0.500 0.000 0.000

Ho2TmPuSc4, relaxed, DFT GGA-PBE; total energy = -49.608 eV/f.u.; magnetization = 8.7 μB per formula unit; E_form = 460 meV per atom; SG = No. 74
1.0
8.759 0.030 -1.689
0.024 8.759 -1.689
-5.531 -5.535 7.922
Sc Ho Pu Tm
8 4 2 2
Direct
0.764 0.267 0.515
0.767 0.264 0.015
0.763 0.738 0.501
0.237 0.262 0.499
0.236 0.733 0.485
0.762 0.737 0.999
0.233 0.736 0.985
0.238 0.263 0.001
0.500 0.500 0.000
0.000 0.000 0.500
0.500 0.000 0.500
0.500 0.000 0.000
0.000 0.500 0.500
0.000 0.500 0.000
0.500 0.500 0.500
0.000 0.000 0.000

Ho2Tm6PuSc3, relaxed, DFT GGA-PBE; total energy = -68.581 eV/f.u.; magnetization = 6.7 μB per formula unit; E_form = 61 meV per atom; SG = No. 12
1.0
-3.424 -1.152 4.734
5.831 0.980 0.710
-2.777 10.911 -0.607
Tm Pu Sc Ho
6 1 3 2
Direct
0.914 0.584 0.744
0.086 0.416 0.256
0.416 0.086 0.256
0.245 0.245 0.743
0.584 0.914 0.744
0.755 0.755 0.257
0.000 0.000 0.000
0.500 0.500 0.500
0.832 0.168 0.500
0.168 0.832 0.500
0.333 0.667 0.000
0.667 0.333 0.000

Ho3Tm6PuSc2, relaxed, DFT GGA-PBE; total energy = -66.870 eV/f.u.; magnetization = 6.6 μB per formula unit; E_form = 57 meV per atom; SG = No. 12
1.0
-4.581 1.353 -3.580
-0.051 -5.092 3.114
-3.552 6.506 8.667
Tm Ho Sc Pu
6 3 2 1
Direct
0.749 0.749 0.244
0.081 0.413 0.244
0.251 0.251 0.756
0.919 0.587 0.756
0.587 0.919 0.756
0.413 0.081 0.244
0.500 0.500 0.500
0.832 0.168 0.500
0.168 0.832 0.500
0.333 0.667 0.000
0.667 0.333 0.000
0.000 0.000 0.000

HoTm2PuSc4, relaxed, DFT GGA-PBE; total energy = -49.475 eV/f.u.; magnetization = 8.9 μB per formula unit; E_form = 463 meV per atom; SG = No. 74
1.0
-5.997 1.743 -6.355
-6.762 -2.775 5.095
8.913 5.954 2.945
Sc Ho Tm Pu
8 2 4 2
Direct
0.239 0.261 0.501
0.237 0.734 0.986
0.234 0.737 0.486
0.766 0.263 0.514
0.763 0.266 0.014
0.761 0.739 0.001
0.761 0.739 0.499
0.239 0.261 0.999
0.000 0.000 0.000
0.500 0.500 0.500
0.500 0.000 0.000
0.000 0.000 0.500
0.500 0.000 0.500
0.500 0.500 0.000
0.000 0.500 0.500
0.000 0.500 0.000

Ho6Tm2PuSc3, relaxed, DFT GGA-PBE; total energy = -68.999 eV/f.u.; magnetization = 6.9 μB per formula unit; E_form = 61 meV per atom; SG = No. 12
1.0
5.977 0.000 0.005
-2.987 5.177 0.005
-1.008 -1.745 11.121
Tm Ho Sc Pu
2 6 3 1
Direct
0.333 0.667 0.000
0.667 0.333 0.000
0.246 0.246 0.744
0.754 0.754 0.256
0.915 0.584 0.744
0.085 0.416 0.256
0.584 0.915 0.744
0.416 0.085 0.256
0.833 0.167 0.500
0.167 0.833 0.500
0.500 0.500 0.500
0.000 0.000 0.000

HoPuZrSc, relaxed, DFT GGA-PBE; total energy = -32.983 eV/f.u.; magnetization = 6.5 μB per formula unit; E_form = 202 meV per atom; SG = No. 216
1.0
-0.003 -0.357 -5.253
3.163 -3.453 -2.405
-2.041 -4.247 -2.349
Zr Sc Pu Ho
1 1 1 1
Direct
0.500 0.500 0.500
0.000 0.000 0.000
0.750 0.750 0.750
0.250 0.250 0.250

Ho5PuSe6, relaxed, DFT GGA-PBE; formation energy from raw total energies = -1708 meV/atom; total energy = -78.627 eV/f.u.; magnetization = 6.1 μB per formula unit; SG = No. 12
1.0
6.988 0.160 1.056
1.709 5.890 3.434
0.117 0.058 7.036
Pu Ho Se
1 5 6
Direct
0.000 0.000 0.000
0.000 0.668 0.665
0.500 0.166 0.668
0.000 0.332 0.335
0.500 0.500 0.000
0.500 0.834 0.332
0.251 0.254 0.000
0.253 0.915 0.663
0.747 0.422 0.663
0.749 0.746 0.000
0.747 0.085 0.337
0.253 0.578 0.337

Ho2PuSe3, relaxed, DFT GGA-PBE; formation energy from raw total energies = -1509 meV/atom; total energy = -42.993 eV/f.u.; magnetization = 5.9 μB per formula unit; SG = No. 65; relative energy among the computed polymorphs = 178 meV per atom
1.0
-2.670 -2.308 -2.152
-0.266 -3.721 4.322
-5.061 5.359 0.531
Se Ho Pu
3 2 1
Direct
0.500 0.152 0.305
0.500 0.848 0.695
0.000 0.500 0.000
0.500 0.643 0.286
0.500 0.357 0.714
0.000 0.000 0.000

HoPuSe2, relaxed, DFT GGA-PBE; formation energy from raw total energies = -1658 meV/atom; total energy = -32.511 eV/f.u.; magnetization = 5.9 μB per formula unit; SG = No. 166; relative energy among the computed polymorphs = 0 meV per atom
1.0
-0.611 -0.828 -3.940
3.033 -1.512 -2.257
-1.125 -7.079 -0.443
Se Pu Ho
2 1 1
Direct
0.252 0.252 0.243
0.748 0.748 0.757
0.500 0.500 0.500
0.000 0.000 0.000

Ho3Pu4Se8, relaxed, DFT GGA-PBE; formation energy from raw total energies = -1659 meV/atom; total energy = -123.821 eV/f.u.; magnetization = 22.8 μB per formula unit; SG = No. 12
1.0
-7.350 2.461 -2.670
2.774 -7.472 -1.898
1.162 -1.601 7.951
Se Ho Pu
8 3 4
Direct
0.996 0.746 0.746
0.510 0.258 0.258
0.490 0.742 0.742
0.500 0.252 0.748
0.000 0.747 0.253
0.004 0.254 0.254
0.500 0.748 0.252
0.000 0.253 0.747
0.500 0.500 0.000
0.500 0.000 0.500
0.500 0.500 0.500
0.500 0.000 0.000
0.000 0.000 0.500
0.000 0.000 0.000
0.000 0.500 0.000

Ho2PuSe3, relaxed, DFT GGA-PBE; formation energy from raw total energies = -1687 meV/atom; total energy = -44.062 eV/f.u.; magnetization = 6.0 μB per formula unit; SG = No. 71; relative energy among the computed polymorphs = 0 meV per atom
1.0
-1.626 0.406 3.708
-0.717 -5.716 0.312
6.755 2.091 0.496
Se Pu Ho
3 1 2
Direct
0.500 0.500 0.000
0.830 0.830 0.660
0.170 0.170 0.340
0.500 0.000 0.000
0.166 0.666 0.333
0.834 0.334 0.667

HoPuSe2, relaxed, DFT GGA-PBE; formation energy from raw total energies = -1618 meV/atom; total energy = -32.350 eV/f.u.; magnetization = 6.0 μB per formula unit; SG = No. 194; relative energy among the computed polymorphs = 40 meV per atom
1.0
-3.782 0.404 1.301
0.712 -1.082 -3.806
-0.129 -13.522 3.819
Se Pu Ho
4 2 2
Direct
0.667 0.333 0.619
0.333 0.667 0.119
0.333 0.667 0.381
0.667 0.333 0.881
0.667 0.333 0.250
0.333 0.667 0.750
0.000 0.000 0.500
0.000 0.000 0.000

HoPuSe2, relaxed, DFT GGA-PBE; formation energy from raw total energies = -1655 meV/atom; total energy = -32.498 eV/f.u.; magnetization = 5.9 μB per formula unit; SG = No. 59; relative energy among the computed polymorphs = 3 meV per atom
1.0
-0.464 -3.898 4.269
0.222 -3.028 -2.741
8.176 -0.112 0.786
Se Ho Pu
4 2 2
Direct
0.701 0.733 0.736
0.201 0.233 0.989
0.701 0.733 0.227
0.201 0.233 0.480
0.201 0.733 0.233
0.701 0.233 0.983
0.201 0.733 0.734
0.701 0.233 0.482

Ho4Pu3Se8, relaxed, DFT GGA-PBE; formation energy from raw total energies = -1716 meV/atom; total energy = -114.930 eV/f.u.; magnetization = 17.3 μB per formula unit; SG = No. 12
1.0
-6.163 5.312 -0.653
-0.723 -6.483 4.918
6.858 2.184 3.864
Se Ho Pu
8 4 3
Direct
0.000 0.250 0.750
0.501 0.753 0.753
0.000 0.750 0.250
0.007 0.752 0.752
0.500 0.248 0.752
0.993 0.248 0.248
0.500 0.752 0.248
0.499 0.247 0.247
0.000 0.000 0.500
0.500 0.000 0.000
0.000 0.500 0.000
0.000 0.000 0.000
0.500 0.500 0.500
0.500 0.000 0.500
0.500 0.500 0.000

HoPuSe2, relaxed, DFT GGA-PBE; formation energy from raw total energies = -1570 meV/atom; total energy = -32.159 eV/f.u.; magnetization = 5.5 μB per formula unit; SG = No. 160; relative energy among the computed polymorphs = 88 meV per atom
1.0
-0.699 -0.033 -3.897
-1.135 -3.350 -1.779
-7.568 0.573 -0.658
Ho Pu Se
1 1 2
Direct
0.496 0.496 0.511
0.671 0.671 0.988
0.084 0.084 0.747
0.249 0.249 0.254

Sm2Ho3PuSe6, relaxed, DFT GGA-PBE; formation energy from raw total energies = -1744 meV/atom; total energy = -79.335 eV/f.u.; magnetization = 6.0 μB per formula unit; SG = No. 12
1.0
-2.357 -1.324 -3.055
-5.266 -3.273 5.479
-1.908 8.999 0.297
Se Ho Sm Pu
6 3 2 1
Direct
0.003 0.746 0.006
0.335 0.410 0.670
0.332 0.922 0.663
0.665 0.590 0.330
0.997 0.254 0.994
0.668 0.078 0.337
0.500 0.500 0.000
0.167 0.836 0.334
0.833 0.164 0.666
0.165 0.331 0.330
0.835 0.669 0.670
0.500 0.000 0.000

Sm3Ho2PuSe6, relaxed, DFT GGA-PBE; formation energy from raw total energies = -1758 meV/atom; total energy = -79.649 eV/f.u.; magnetization = 6.0 μB per formula unit; SG = No. 12
1.0
4.100 0.000 0.000
0.000 8.298 0.279
-2.050 -2.409 8.683
Ho Se Sm Pu
2 6 3 1
Direct
0.836 0.672 0.672
0.164 0.328 0.328
0.667 0.091 0.334
0.333 0.909 0.666
0.002 0.249 0.005
0.998 0.751 0.995
0.670 0.577 0.341
0.330 0.423 0.659
0.165 0.835 0.329
0.500 0.500 0.000
0.835 0.165 0.671
0.500 0.000 0.000

Sm3HoPu2Se6, relaxed, DFT GGA-PBE; formation energy from raw total energies = -1726 meV/atom; total energy = -89.023 eV/f.u.; magnetization = 11.6 μB per formula unit; SG = No. 12
1.0
-4.255 4.159 -3.977
-0.168 -7.109 -0.810
-3.380 0.557 6.344
Pu Se Sm Ho
2 6 3 1
Direct
0.666 0.334 0.000
0.334 0.666 0.000
0.248 0.248 0.754
0.919 0.589 0.756
0.752 0.752 0.246
0.589 0.919 0.756
0.081 0.411 0.244
0.411 0.081 0.244
0.500 0.500 0.500
0.168 0.832 0.500
0.832 0.168 0.500
0.000 0.000 0.000